No. 1
TiZnAu: optimized geometry, PBE.

Summary:
V ... 17.1 Å³/atom
Calculated density ... 10.0 Mg/m³
ΔH_f (0 K) ... -0.218 eV/atom
Space-group type ... No. 129

Unit cell a=3.893 b=3.893 c=6.772 alpha=90.00 beta=90.00 gamma=90.00
Sites, in units of the cell vectors:
Ti 0.250 0.250 0.159
Ti 0.750 0.750 0.841
Zn 0.250 0.750 0.500
Zn 0.750 0.250 0.500
Au 0.250 0.250 0.778
Au 0.750 0.750 0.222


No. 2
TiZnAu: optimized geometry, PBE.

Summary:
V ... 16.2 Å³/atom
Calculated density ... 10.6 Mg/m³
ΔH_f (0 K) ... -0.280 eV/atom
Space-group type ... No. 63

Unit cell a=8.111 b=8.111 c=4.114 alpha=90.00 beta=90.00 gamma=158.96
Sites, in units of the cell vectors:
Ti 0.115 0.885 0.750
Ti 0.885 0.115 0.250
Zn 0.461 0.539 0.750
Zn 0.539 0.461 0.250
Au 0.296 0.704 0.750
Au 0.704 0.296 0.250


No. 3
Ti2ZnAu4: optimized geometry, PBE.

Summary:
V ... 17.4 Å³/atom
Calculated density ... 13.0 Mg/m³
ΔH_f (0 K) ... -0.276 eV/atom
Space-group type ... No. 166

Unit cell a=7.066 b=7.066 c=7.066 alpha=38.27 beta=38.27 gamma=38.27
Sites, in units of the cell vectors:
Ti 0.226 0.226 0.226
Ti 0.774 0.774 0.774
Zn 0.500 0.500 0.500
Au 0.090 0.090 0.090
Au 0.366 0.366 0.366
Au 0.634 0.634 0.634
Au 0.910 0.910 0.910


No. 4
Ti2ZnAu2: optimized geometry, PBE.

Summary:
V ... 16.8 Å³/atom
Calculated density ... 11.0 Mg/m³
ΔH_f (0 K) ... -0.281 eV/atom
Space-group type ... No. 12

Unit cell a=5.333 b=5.333 c=10.659 alpha=90.83 beta=90.83 gamma=33.62
Sites, in units of the cell vectors:
Ti 0.061 0.061 0.376
Ti 0.144 0.144 0.036
Ti 0.856 0.856 0.964
Ti 0.939 0.939 0.624
Zn 0.256 0.256 0.773
Zn 0.744 0.744 0.227
Au 0.339 0.339 0.424
Au 0.458 0.458 0.168
Au 0.542 0.542 0.832
Au 0.661 0.661 0.576